[1]
Entry from the Alexandria database: a relaxed structure of CsKTaTe4 (PBE).

Its density of states at the Fermi level is 9.989 states/eV per cell. Its theoretical density is 4.79 g/cm³. As for the energy relative to the elements, uncorrected: -0.609 eV/atom.

It has space group P2_1/m (No. 11), with a = 7.270 Å, b = 7.441 Å, c = 11.430 Å, α = 90.00°, β = 104.60° and γ = 90.00°. The distinct sites, in fractional coordinates, are Cs at (0.222, 0.250, 0.400), K at (0.318, 0.750, 0.023), Ta at (0.131, 0.250, 0.792), Te at (0.189, 0.250, 0.027), Te at (0.228, 0.750, 0.323) and Te at (0.319, 0.514, 0.722).

---

[2]
Entry from the Alexandria database: a relaxed structure of PrSm6Ho3 (PBE).

Its density of states at the Fermi level is 59.051 states/eV per cell. Its theoretical density is 7.61 g/cm³. The energy of formation comes out at 126 meV/atom.

It has space group Cmc2_1 (No. 36), with a = 9.756 Å, b = 21.306 Å, c = 6.461 Å, α = 90.00°, β = 90.00° and γ = 90.00°. The distinct sites, in fractional coordinates, are Pr at (0.000, 0.158, 0.000), Sm at (0.000, 0.015, 0.790), Sm at (0.000, 0.301, 0.793), Sm at (0.174, 0.282, 0.323), Sm at (0.179, 0.441, 0.570), Ho at (0.000, 0.419, 0.092) and Ho at (0.169, 0.127, 0.478).

---

[3]
Entry from the Alexandria database: a relaxed structure of Tb2PmTl2Ag2 (PBE).

Its density of states at the Fermi level is 22.307 states/eV per cell. Its theoretical density is 9.83 g/cm³. The energy of formation comes out at -178 meV/atom.

It has space group R-3m (No. 166, hexagonal axes), with a = 4.9353 Å, b = 4.9353 Å, c = 26.1138 Å, α = 90.00°, β = 90.00° and γ = 120.00°. The distinct sites, in fractional coordinates, are Tb at (0.0000, 0.0000, 0.1329), Pm at (0.0000, 0.0000, 0.0000), Tl at (0.0000, 0.0000, 0.2640) and Ag at (0.0000, 0.0000, 0.4346).

---

[4]
Entry from the Alexandria database: a relaxed structure of Sc2CrRe (PBE).

Its density of states at the Fermi level is 3.881 states/eV per cell. Its theoretical density is 7.54 g/cm³. The energy of formation comes out at 184 meV/atom.

It has space group P4/mmm (No. 123), with a = 3.328 Å, b = 3.328 Å, c = 6.524 Å, α = 90.00°, β = 90.00° and γ = 90.00°. The distinct sites, in fractional coordinates, are Sc at (0.000, 0.000, 0.234), Cr at (0.500, 0.500, 0.500) and Re at (0.500, 0.500, 0.000).

---

[5]
Entry from the Alexandria database: a relaxed structure of Cr2FeRe (PBE).

Its density of states at the Fermi level is 20.419 states/eV per cell. Its theoretical density is 11.48 g/cm³. The energy of formation comes out at 77 meV/atom.

It has space group Fm-3m (No. 225), with a = 5.850 Å, b = 5.850 Å, c = 5.850 Å, α = 90.00°, β = 90.00° and γ = 90.00°. The distinct sites, in fractional coordinates, are Cr at (0.250, 0.250, 0.250), Fe at (0.000, 0.000, 0.000) and Re at (0.000, 0.000, 0.500).

---

[6]
Entry from the Alexandria database: a relaxed structure of FeTeRu3 (PBE).

Its density of states at the Fermi level is 6.459 states/eV per cell. Its theoretical density is 9.12 g/cm³. As for the energy relative to the elements, uncorrected: 1.211 eV/atom.

It has space group Pm-3m (No. 221), with a = 4.458 Å, b = 4.458 Å, c = 4.458 Å, α = 90.00°, β = 90.00° and γ = 90.00°. The distinct sites, in fractional coordinates, are Fe at (0.000, 0.000, 0.000), Te at (0.500, 0.500, 0.500) and Ru at (0.000, 0.000, 0.500).

---

[7]
Entry from the Alexandria database: a relaxed structure of YFe2Tc (PBE).

Its density of states at the Fermi level is 32.257 states/eV per cell. Its theoretical density is 7.92 g/cm³. The energy of formation comes out at 401 meV/atom.

It has space group F-43m (No. 216), with a = 6.302 Å, b = 6.302 Å, c = 6.302 Å, α = 90.00°, β = 90.00° and γ = 90.00°. The distinct sites, in fractional coordinates, are Y at (0.000, 0.000, 0.000), Fe at (0.000, 0.000, 0.500), Fe at (0.250, 0.250, 0.750) and Tc at (0.250, 0.250, 0.250).

---

[8]
Entry from the Alexandria database: a relaxed structure of Sr4Cd3In (PBE).

Its density of states at the Fermi level is 11.276 states/eV per cell. Its theoretical density is 4.95 g/cm³. The energy of formation comes out at -364 meV/atom.

It has space group C2/m (No. 12), with a = 17.104 Å, b = 5.783 Å, c = 5.783 Å, α = 90.00°, β = 109.70° and γ = 90.00°. The distinct sites, in fractional coordinates, are Sr at (0.125, 0.000, 0.124), Sr at (0.125, 0.500, 0.624), Cd at (0.000, 0.000, 0.500), Cd at (0.249, 0.500, 0.249) and In at (0.000, 0.500, 0.000).

---

- theoretical density of number 8 (Sr4Cd3In)?
  4.95 g/cm³

---

- Which of these has the lowest theoretical density?
  CsKTaTe4

---

- Among the records above, which one has the highest theoretical density?
  Cr2FeRe

---

- What is the theoretical density in the first record?
  4.79 g/cm³